DFT (PBE-GGA) results for a geometry-optimized YAl2Ru structure.

a = 4.2390 Å, b = 3.2140 Å, c = 5.5124 Å
α = 79.74°, β = 90.00°, γ = 90.00°
Fractional positions:
Ru1 0.0000 0.5075 0.4135
Al1 0.5000 0.1437 0.2839
Al2 0.0000 0.1322 0.0290
Y1 0.5000 0.7166 0.7736

Formation enthalpy at 0 K ... -0.30 eV per atom
Space-group type ... Pm